[1]
The following is a DFT calculation (PBE) of a geometry-optimized ZrTlSi2 structure.

a = 5.240 Å, b = 5.240 Å, c = 5.240 Å
α = 132.47°, β = 132.47°, γ = 69.48°
Fractional coordinates of all 4 atoms:
Si  0.500  0.500  0.000
Zr  0.750  0.250  0.500
Tl  0.250  0.750  0.500
Si  0.000  0.000  0.000

Values from the calculation:
The total energy comes out at -5.34 eV/atom. The calculation puts the density of states at the Fermi level at 1.73 states/eV/cell. The formation energy (no corrections) is 0.10 eV/atom. The total magnetic moment comes out at 0.000 μB/cell. As for the space group: I4/mmm (139).

[2]
The following is a DFT calculation (PBE) of a geometry-optimized LaSc2Ga structure.

a = 10.888 Å, b = 10.888 Å, c = 10.888 Å
α = 17.49°, β = 17.49°, γ = 17.49°
Fractional coordinates of all 4 atoms:
Sc  0.898  0.898  0.898
Sc  0.102  0.102  0.102
Ga  0.500  0.500  0.500
La  0.000  0.000  0.000

Values from the calculation:
The total energy comes out at -5.21 eV/atom. The calculation puts the density of states at the Fermi level at 6.17 states/eV/cell. The total magnetic moment comes out at 0.000 μB/cell. As for the space group: R-3m (166). The formation energy is -0.059 eV per atom.

[3]
The following is a DFT calculation (PBE) of a geometry-optimized Ca3YHo3S8 structure.

a = 7.852 Å, b = 7.852 Å, c = 7.956 Å
α = 119.57°, β = 90.00°, γ = 120.00°
Fractional coordinates of all 15 atoms:
S  0.746  0.992  0.738
S  0.253  0.505  0.258
S  0.254  0.008  0.262
S  0.246  0.492  0.738
Ho  0.500  0.000  0.500
S  0.246  0.992  0.738
Ho  0.500  0.500  0.500
S  0.754  0.508  0.262
Y  0.000  0.000  0.500
Ca  0.000  0.000  0.000
Ca  0.000  0.500  0.000
Ho  0.000  0.500  0.500
Ca  0.500  0.500  0.000
S  0.754  0.008  0.262
S  0.747  0.495  0.742

Values from the calculation:
The total energy comes out at -6.04 eV/atom. The calculation puts the density of states at the Fermi level at 4.35 states/eV/cell. The formation energy (no corrections) is -2.09 eV/atom. The total magnetic moment comes out at 0.000 μB/cell. As for the space group: R-3m (166).

[4]
The following is a DFT calculation (PBE) of a geometry-optimized MnPb structure.

a = 5.134 Å, b = 5.134 Å, c = 5.134 Å
α = 60.00°, β = 60.00°, γ = 60.00°
Fractional coordinates of all 4 atoms:
Pb  0.500  0.500  0.500
Mn  0.000  0.000  0.000
Mn  0.250  0.250  0.250
Pb  0.750  0.750  0.750

Values from the calculation:
The total energy comes out at -5.71 eV/atom. The calculation puts the density of states at the Fermi level at 5.22 states/eV/cell. The total magnetic moment comes out at 8.382 μB/cell. As for the space group: Fd-3m (227). The formation energy is 0.728 eV per atom.

[5]
The following is a DFT calculation (PBE) of a geometry-optimized Pm4PrNi2 structure.

a = 6.817 Å, b = 9.078 Å, c = 6.942 Å
α = 112.65°, β = 90.00°, γ = 90.00°
Fractional coordinates of all 14 atoms:
Pm  0.499  0.442  0.721
Pm  0.750  0.795  0.758
Pr  0.250  0.799  0.043
Pm  0.001  0.442  0.721
Ni  0.750  0.665  0.041
Pm  0.999  0.558  0.279
Ni  0.250  0.335  0.959
Ni  0.250  0.663  0.623
Pr  0.750  0.201  0.957
Pm  0.750  0.001  0.328
Pm  0.250  0.999  0.672
Pm  0.501  0.558  0.279
Ni  0.750  0.337  0.377
Pm  0.250  0.205  0.242

Values from the calculation:
The total energy comes out at -5.18 eV/atom. The calculation puts the density of states at the Fermi level at 16.81 states/eV/cell. The total magnetic moment comes out at 0.000 μB/cell. As for the space group: P2_1/m (11). The formation energy is -0.135 eV per atom.

[6]
The following is a DFT calculation (PBE) of a geometry-optimized TlReP2O structure.

a = 4.872 Å, b = 4.872 Å, c = 3.781 Å
α = 90.00°, β = 90.00°, γ = 90.00°
Fractional coordinates of all 5 atoms:
P  0.000  0.500  0.000
O  0.000  0.000  0.500
Re  0.000  0.000  0.000
Tl  0.500  0.500  0.500
P  0.500  0.000  0.000

Values from the calculation:
The total energy comes out at -6.23 eV/atom. The calculation puts the density of states at the Fermi level at 2.92 states/eV/cell. The formation energy (no corrections) is -0.11 eV/atom. The total magnetic moment comes out at 0.000 μB/cell. As for the space group: P4/mmm (123).

[7]
The following is a DFT calculation (PBE) of a geometry-optimized SrTaHg2 structure.

a = 3.429 Å, b = 4.419 Å, c = 6.781 Å
α = 90.00°, β = 90.00°, γ = 90.00°
Fractional coordinates of all 4 atoms:
Hg  0.000  0.000  0.956
Ta  0.500  0.500  0.821
Sr  0.000  0.000  0.487
Hg  0.500  0.500  0.236

Values from the calculation:
The total energy comes out at -3.12 eV/atom. The calculation puts the density of states at the Fermi level at 3.47 states/eV/cell. The total magnetic moment comes out at 0.609 μB/cell. As for the space group: Pmm2 (25). The formation energy is 0.414 eV per atom.

[8]
The following is a DFT calculation (PBE) of a geometry-optimized La5Zn2Sn5 structure.

a = 4.705 Å, b = 8.607 Å, c = 9.272 Å
α = 81.16°, β = 75.30°, γ = 74.14°
Fractional coordinates of all 12 atoms:
Sn  0.936  0.765  0.363
Zn  0.141  0.454  0.265
La  0.500  0.500  0.500
Zn  0.859  0.546  0.735
Sn  0.064  0.235  0.637
Sn  0.245  0.688  0.823
Sn  0.755  0.312  0.177
La  0.605  0.705  0.085
La  0.395  0.295  0.915
La  0.310  0.059  0.322
La  0.690  0.941  0.678
Sn  0.000  0.000  0.000

Values from the calculation:
The total energy comes out at -4.62 eV/atom. The calculation puts the density of states at the Fermi level at 5.69 states/eV/cell. The total magnetic moment comes out at 0.000 μB/cell. As for the space group: C2/m (12). The formation energy is -0.690 eV per atom.

[9]
The following is a DFT calculation (PBE) of a geometry-optimized Li2AlAu structure.

a = 7.418 Å, b = 7.418 Å, c = 5.829 Å
α = 50.48°, β = 50.48°, γ = 90.00°
Fractional coordinates of all 8 atoms:
Au  0.750  0.250  0.500
Li  0.651  0.125  0.250
Li  0.375  0.349  0.750
Li  0.099  0.625  0.250
Li  0.875  0.901  0.750
Al  0.500  0.500  0.000
Al  0.250  0.750  0.500
Au  0.000  0.000  0.000

Values from the calculation:
The total energy comes out at -2.90 eV/atom. The calculation puts the density of states at the Fermi level at 1.92 states/eV/cell. The total magnetic moment comes out at 0.000 μB/cell. As for the space group: I-42d (122). The formation energy is -0.188 eV per atom.

[10]
The following is a DFT calculation (PBE) of a geometry-optimized La6FeP2Br3 structure.

a = 7.323 Å, b = 7.323 Å, c = 7.842 Å
α = 99.83°, β = 99.83°, γ = 118.59°
Fractional coordinates of all 12 atoms:
La  0.067  0.372  0.197
P  0.668  0.332  0.000
La  0.372  0.067  0.197
P  0.332  0.668  0.000
La  0.933  0.628  0.803
Br  0.823  0.177  0.500
La  0.261  0.261  0.782
La  0.739  0.739  0.218
Fe  0.000  0.000  0.000
Br  0.177  0.823  0.500
Br  0.500  0.500  0.500
La  0.628  0.933  0.803

Values from the calculation:
The total energy comes out at -5.73 eV/atom. The calculation puts the density of states at the Fermi level at 9.29 states/eV/cell. The formation energy (no corrections) is -1.25 eV/atom. The total magnetic moment comes out at 0.000 μB/cell. As for the space group: C2/m (12).

[11]
The following is a DFT calculation (PBE) of a geometry-optimized TbPr2NdDy6 structure.

a = 9.800 Å, b = 8.812 Å, c = 8.812 Å
α = 117.94°, β = 94.69°, γ = 94.69°
Fractional coordinates of all 20 atoms:
Dy  0.057  0.122  0.739
Nd  0.250  0.983  0.017
Dy  0.619  0.492  0.704
Pr  0.042  0.294  0.193
Pr  0.458  0.807  0.706
Tb  0.750  0.593  0.407
Dy  0.687  0.022  0.574
Dy  0.881  0.296  0.508
Dy  0.187  0.574  0.022
Dy  0.557  0.739  0.122
Dy  0.943  0.878  0.261
Dy  0.381  0.508  0.296
Dy  0.443  0.261  0.878
Dy  0.313  0.978  0.426
Nd  0.750  0.017  0.983
Dy  0.119  0.704  0.492
Tb  0.250  0.407  0.593
Pr  0.958  0.706  0.807
Pr  0.542  0.193  0.294
Dy  0.813  0.426  0.978

Values from the calculation:
The total energy comes out at -4.54 eV/atom. The calculation puts the density of states at the Fermi level at 29.07 states/eV/cell. The total magnetic moment comes out at 0.000 μB/cell. As for the space group: C2/c (15). The formation energy is 0.118 eV per atom.

[12]
The following is a DFT calculation (PBE) of a geometry-optimized Sc2InRh structure.

a = 5.319 Å, b = 5.319 Å, c = 5.319 Å
α = 133.68°, β = 133.68°, γ = 67.58°
Fractional coordinates of all 4 atoms:
In  0.500  0.500  0.000
Sc  0.000  0.000  0.000
Sc  0.250  0.750  0.500
Rh  0.750  0.250  0.500

Values from the calculation:
The total energy comes out at -6.20 eV/atom. The calculation puts the density of states at the Fermi level at 3.47 states/eV/cell. The total magnetic moment comes out at 0.000 μB/cell. As for the space group: I-4m2 (119). The formation energy is -0.513 eV per atom.

- Which formula does entry 7 have?
  SrTaHg2

- What is the formula in the fourth record?
  MnPb

- Number 12 is which compound?
  Sc2InRh